[1]
! PBE-GGA K2NaIn12Pd3, optimized geometry; values from VASP
! Calculated formation energy = -0.04 eV per atom
! Space-group type = R-3m, No. 166
! DOS(E_F) = 11.9 states/eV/f.u.
&SYSTEM
  ibrav = 0, nat = 18, ntyp = 4
/
ATOMIC_SPECIES
K 39.10 K.upf
Na 22.99 Na.upf
In 114.82 In.upf
Pd 106.42 Pd.upf
ATOMIC_POSITIONS crystal
K 0.088 0.088 0.088
K 0.912 0.912 0.912
Na 0.500 0.500 0.500
In 0.116 0.650 0.650
In 0.231 0.231 0.608
In 0.231 0.608 0.231
In 0.350 0.350 0.884
In 0.350 0.884 0.350
In 0.392 0.769 0.769
In 0.608 0.231 0.231
In 0.650 0.116 0.650
In 0.650 0.650 0.116
In 0.769 0.392 0.769
In 0.769 0.769 0.392
In 0.884 0.350 0.350
Pd 0.000 0.500 0.500
Pd 0.500 0.000 0.500
Pd 0.500 0.500 0.000
CELL_PARAMETERS angstrom
5.052 2.917 6.396
-5.052 2.917 6.396
0.000 -5.834 6.396

=====

[2]
! PBE-GGA AcDyGa2, optimized geometry; values from VASP
! Calculated formation energy = -0.30 eV per atom
! Space-group type = R-3m, No. 166
! DOS(E_F) = 3.0 states/eV/f.u.
&SYSTEM
  ibrav = 0, nat = 4, ntyp = 3
/
ATOMIC_SPECIES
Ac 227.00 Ac.upf
Dy 162.50 Dy.upf
Ga 69.72 Ga.upf
ATOMIC_POSITIONS crystal
Ac 0.000 0.000 0.000
Dy 0.500 0.500 0.500
Ga 0.243 0.243 0.243
Ga 0.757 0.757 0.757
CELL_PARAMETERS angstrom
1.929 1.114 9.039
-1.929 1.114 9.039
0.000 -2.227 9.039

=====

[3]
! PBE-GGA Pa2VRu, optimized geometry; values from VASP
! Calculated formation energy = 0.03 eV per atom
! Space-group type = P4/mmm, No. 123
! DOS(E_F) = 8.1 states/eV/f.u.
! Distance to the lowest polymorph of the same formula = 0.000 eV per atom
&SYSTEM
  ibrav = 0, nat = 4, ntyp = 3
/
ATOMIC_SPECIES
Pa 231.04 Pa.upf
V 50.94 V.upf
Ru 101.07 Ru.upf
ATOMIC_POSITIONS crystal
Pa 0.000 0.500 0.000
Pa 0.500 0.000 0.000
V 0.000 0.000 0.500
Ru 0.500 0.500 0.500
CELL_PARAMETERS angstrom
4.759 0.000 0.000
0.000 4.759 0.000
0.000 0.000 3.541

=====

[4]
! PBE-GGA K4Ac3SiO8, optimized geometry; values from VASP
! E_form (uncorrected) = -35.8 eV/f.u.
! Space-group type = C2/m, No. 12
! DOS(E_F) = 2.2 states/eV/f.u.
&SYSTEM
  ibrav = 0, nat = 16, ntyp = 4
/
ATOMIC_SPECIES
K 39.10 K.upf
Ac 227.00 Ac.upf
Si 28.09 Si.upf
O 16.00 O.upf
ATOMIC_POSITIONS crystal
K 0.000 0.000 0.000
K 0.000 0.500 0.000
K 0.500 0.000 0.000
K 0.500 0.500 0.000
Ac 0.000 0.000 0.500
Ac 0.000 0.500 0.500
Ac 0.500 0.000 0.500
Si 0.500 0.500 0.500
O 0.208 0.208 0.252
O 0.208 0.208 0.689
O 0.290 0.640 0.627
O 0.360 0.710 0.373
O 0.640 0.290 0.627
O 0.710 0.360 0.373
O 0.792 0.792 0.311
O 0.792 0.792 0.748
CELL_PARAMETERS angstrom
6.813 -3.611 0.000
6.813 3.611 0.000
-3.518 0.000 6.577

=====

[5]
! PBE-GGA Pm12NdSm2, optimized geometry; values from VASP
! Calculated formation energy = 0.30 eV per atom
! Space-group type = P4/nbm, No. 125
! DOS(E_F) = 19.8 states/eV/f.u.
&SYSTEM
  ibrav = 0, nat = 30, ntyp = 3
/
ATOMIC_SPECIES
Pm 145.00 Pm.upf
Nd 144.24 Nd.upf
Sm 150.36 Sm.upf
ATOMIC_POSITIONS crystal
Pm 0.066 0.566 0.116
Pm 0.066 0.934 0.884
Pm 0.082 0.582 0.438
Pm 0.082 0.918 0.562
Pm 0.250 0.250 0.216
Pm 0.250 0.250 0.339
Pm 0.250 0.250 0.661
Pm 0.250 0.250 0.784
Pm 0.418 0.582 0.562
Pm 0.418 0.918 0.438
Pm 0.434 0.566 0.884
Pm 0.434 0.934 0.116
Pm 0.566 0.066 0.884
Pm 0.566 0.434 0.116
Pm 0.582 0.082 0.562
Pm 0.582 0.418 0.438
Pm 0.750 0.750 0.216
Pm 0.750 0.750 0.339
Pm 0.750 0.750 0.661
Pm 0.750 0.750 0.784
Pm 0.918 0.082 0.438
Pm 0.918 0.418 0.562
Pm 0.934 0.066 0.116
Pm 0.934 0.434 0.884
Nd 0.250 0.750 0.000
Nd 0.750 0.250 0.000
Sm 0.250 0.750 0.271
Sm 0.250 0.750 0.729
Sm 0.750 0.250 0.271
Sm 0.750 0.250 0.729
CELL_PARAMETERS angstrom
6.556 0.000 0.000
0.000 6.556 0.000
0.000 0.000 25.497

=====

[6]
! PBE-GGA Ti2CuPt2, optimized geometry; values from VASP
! Calculated formation energy = -0.50 eV per atom
! Space-group type = P4/mbm, No. 127
! DOS(E_F) = 5.0 states/eV/f.u.
! Distance to the lowest polymorph of the same formula = 0.127 eV per atom
&SYSTEM
  ibrav = 0, nat = 10, ntyp = 3
/
ATOMIC_SPECIES
Ti 47.87 Ti.upf
Cu 63.55 Cu.upf
Pt 195.08 Pt.upf
ATOMIC_POSITIONS crystal
Ti 0.158 0.342 0.000
Ti 0.342 0.842 0.000
Ti 0.658 0.158 0.000
Ti 0.842 0.658 0.000
Cu 0.000 0.000 0.000
Cu 0.500 0.500 0.000
Pt 0.138 0.638 0.500
Pt 0.362 0.138 0.500
Pt 0.638 0.862 0.500
Pt 0.862 0.362 0.500
CELL_PARAMETERS angstrom
7.668 0.000 0.000
0.000 7.668 0.000
0.000 0.000 2.797

=====

[7]
! PBE-GGA Cs6Au2Br2O, optimized geometry; values from VASP
! E_form (uncorrected) = -11.2 eV/f.u.
! Space-group type = C2/m, No. 12
&SYSTEM
  ibrav = 0, nat = 11, ntyp = 4
/
ATOMIC_SPECIES
Cs 132.91 Cs.upf
Au 196.97 Au.upf
Br 79.90 Br.upf
O 16.00 O.upf
ATOMIC_POSITIONS crystal
Cs 0.059 0.358 0.714
Cs 0.185 0.185 0.296
Cs 0.358 0.059 0.714
Cs 0.642 0.941 0.286
Cs 0.815 0.815 0.704
Cs 0.941 0.642 0.286
Au 0.182 0.818 0.000
Au 0.818 0.182 0.000
Br 0.342 0.658 0.500
Br 0.658 0.342 0.500
O 0.000 0.000 0.500
CELL_PARAMETERS angstrom
4.520 -7.313 0.000
4.520 7.313 0.000
-2.888 0.000 8.322

=====

[8]
! PBE-GGA Dy6Ho2Er3, optimized geometry; values from VASP
! Calculated formation energy = 0.02 eV per atom
! Space-group type = R-3m, No. 166
! DOS(E_F) = 14.9 states/eV/f.u.
! Distance to the lowest polymorph of the same formula = 0.000 eV per atom
&SYSTEM
  ibrav = 0, nat = 11, ntyp = 3
/
ATOMIC_SPECIES
Dy 162.50 Dy.upf
Ho 164.93 Ho.upf
Er 167.26 Er.upf
ATOMIC_POSITIONS crystal
Dy 0.091 0.091 0.091
Dy 0.182 0.182 0.182
Dy 0.364 0.364 0.364
Dy 0.636 0.636 0.636
Dy 0.818 0.818 0.818
Dy 0.909 0.909 0.909
Ho 0.454 0.454 0.454
Ho 0.546 0.546 0.546
Er 0.000 0.000 0.000
Er 0.273 0.273 0.273
Er 0.727 0.727 0.727
CELL_PARAMETERS angstrom
1.761 1.017 31.535
-1.761 1.017 31.535
0.000 -2.034 31.535

=====

[9]
! PBE-GGA ZrSbRu, optimized geometry; values from VASP
! E_form (uncorrected) = -0.9 eV/f.u.
! Space-group type = I4mm, No. 107
! DOS(E_F) = 2.8 states/eV/f.u.
&SYSTEM
  ibrav = 0, nat = 3, ntyp = 3
/
ATOMIC_SPECIES
Zr 91.22 Zr.upf
Sb 121.76 Sb.upf
Ru 101.07 Ru.upf
ATOMIC_POSITIONS crystal
Zr 0.000 0.000 0.000
Sb 0.304 0.304 0.000
Ru 0.663 0.663 0.000
CELL_PARAMETERS angstrom
-1.619 1.619 5.447
1.619 -1.619 5.447
1.619 1.619 -5.447

=====

[10]
! PBE-GGA KZr2Re, optimized geometry; values from VASP
! Calculated formation energy = 1.33 eV per atom
! Space-group type = I4_1/amd, No. 141
! DOS(E_F) = 3.7 states/eV/f.u.
! Distance to the lowest polymorph of the same formula = 1.135 eV per atom
&SYSTEM
  ibrav = 0, nat = 8, ntyp = 3
/
ATOMIC_SPECIES
K 39.10 K.upf
Zr 91.22 Zr.upf
Re 186.21 Re.upf
ATOMIC_POSITIONS crystal
K 0.375 0.625 0.750
K 0.625 0.375 0.250
Zr 0.000 0.000 0.000
Zr 0.000 0.000 0.500
Zr 0.000 0.500 0.000
Zr 0.500 0.000 0.500
Re 0.125 0.875 0.250
Re 0.875 0.125 0.750
CELL_PARAMETERS angstrom
-3.477 3.477 7.027
3.477 -3.477 7.027
3.477 3.477 -7.027

=====

[11]
! PBE-GGA NaSrRh, optimized geometry; values from VASP
! Calculated formation energy = -0.12 eV per atom
! Space-group type = P2_1/m, No. 11
! DOS(E_F) = 2.3 states/eV/f.u.
! Distance to the lowest polymorph of the same formula = 0.005 eV per atom
&SYSTEM
  ibrav = 0, nat = 6, ntyp = 3
/
ATOMIC_SPECIES
Na 22.99 Na.upf
Sr 87.62 Sr.upf
Rh 102.91 Rh.upf
ATOMIC_POSITIONS crystal
Na 0.194 0.250 0.389
Na 0.806 0.750 0.611
Sr 0.418 0.250 0.836
Sr 0.582 0.750 0.164
Rh 0.026 0.250 0.053
Rh 0.974 0.750 0.947
CELL_PARAMETERS angstrom
4.521 0.000 0.000
0.000 4.488 0.000
-2.257 0.000 9.394

=====

[12]
! PBE-GGA Ce2HfZn9, optimized geometry; values from VASP
! Calculated formation energy = -0.14 eV per atom
! Space-group type = R-3m, No. 166
! DOS(E_F) = 14.3 states/eV/f.u.
&SYSTEM
  ibrav = 0, nat = 12, ntyp = 3
/
ATOMIC_SPECIES
Ce 140.12 Ce.upf
Hf 178.49 Hf.upf
Zn 65.41 Zn.upf
ATOMIC_POSITIONS crystal
Ce 0.145 0.145 0.145
Ce 0.855 0.855 0.855
Hf 0.000 0.000 0.000
Zn 0.075 0.581 0.581
Zn 0.335 0.335 0.335
Zn 0.419 0.419 0.925
Zn 0.419 0.925 0.419
Zn 0.500 0.500 0.500
Zn 0.581 0.075 0.581
Zn 0.581 0.581 0.075
Zn 0.665 0.665 0.665
Zn 0.925 0.419 0.419
CELL_PARAMETERS angstrom
2.659 1.535 8.689
-2.659 1.535 8.689
0.000 -3.070 8.689